Here is a relaxed NdHo5Rh4 crystal from the Alexandria database. Energies are from GGA-PBE.

abc: 3.4273 3.4273 19.1918
angles: 90.00 90.00 90.00
Closest atoms and distances in Å follow each position.
Atoms (fractional coordinates):
Nd: 0.0000 0.0000 0.0000  4 Nd 3.43, 8 Ho 3.73
Ho: 0.5000 0.5000 0.1479  4 Rh 2.90
Ho: 0.5000 0.5000 0.3224  8 Rh 2.96-2.99
Ho: 0.5000 0.5000 0.5000  8 Rh 2.96
Ho: 0.5000 0.5000 0.6776  8 Rh 2.96-2.99
Ho: 0.5000 0.5000 0.8521  4 Rh 2.90
Rh: 0.0000 0.0000 0.2313  8 Ho 2.90-2.99
Rh: 0.0000 0.0000 0.4110  8 Ho 2.96
Rh: 0.0000 0.0000 0.5890  8 Ho 2.96
Rh: 0.0000 0.0000 0.7687  8 Ho 2.90-2.99

Properties
Its symmetry is P4/mmm, No. 123. For the energy above the lowest structure with this stoichiometry, the calculation gives 0.0 meV/atom. For the formation energy, the calculation gives -0.7268 eV/atom. As for the density of states at the Fermi level: 0.661 states/eV/atom. The total magnetization comes out at 0.00 Bohr magnetons per cell. Its density is 10.17 g cm⁻³.



Here is a relaxed NdHoRh2 crystal from the Alexandria database. Energies are from GGA-PBE.

abc: 3.4266 3.4266 7.1639
angles: 90.00 90.00 90.00
Closest atoms and distances in Å follow each position.
Atoms (fractional coordinates):
Rh: 0.0000 0.0000 0.7649  4 Ho 2.95, 4 Nd 3.08
Rh: 0.0000 0.0000 0.2351  4 Ho 2.95, 4 Nd 3.08
Nd: 0.5000 0.5000 0.5000  8 Rh 3.08, 4 Nd 3.43
Ho: 0.5000 0.5000 0.0000  8 Rh 2.95

Properties
Its symmetry is P4/mmm, No. 123. For the formation energy, the calculation gives -0.7540 eV/atom. As for the density of states at the Fermi level: 0.720 states/eV/atom. The total magnetization comes out at 0.00 Bohr magnetons per cell. Its density is 10.17 g cm⁻³.



Here is a relaxed NdHo2Rh3 crystal from the Alexandria database. Energies are from GGA-PBE.

abc: 3.4458 3.4458 10.4199
angles: 90.00 90.00 90.00
Closest atoms and distances in Å follow each position.
Atoms (fractional coordinates):
Nd: 0.5000 0.5000 0.5000  8 Rh 3.07
Ho: 0.5000 0.5000 0.8370  8 Rh 2.94-2.97
Ho: 0.5000 0.5000 0.1630  8 Rh 2.94-2.97
Rh: 0.0000 0.0000 0.0000  8 Ho 2.97
Rh: 0.0000 0.0000 0.6788  4 Ho 2.94, 4 Nd 3.07
Rh: 0.0000 0.0000 0.3212  4 Ho 2.94, 4 Nd 3.07

Properties
Its symmetry is P4/mmm, No. 123. For the formation energy, the calculation gives -0.8066 eV/atom. As for the density of states at the Fermi level: 0.664 states/eV/atom. The total magnetization comes out at 0.00 Bohr magnetons per cell. Its density is 10.51 g cm⁻³.



Here is a relaxed Nd3HoRh4 crystal from the Alexandria database. Energies are from GGA-PBE.

abc: 3.4674 3.4674 14.3900
angles: 90.00 90.00 90.00
Closest atoms and distances in Å follow each position.
Atoms (fractional coordinates):
Rh: 0.0000 0.0000 0.8845  4 Ho 2.96, 4 Nd 3.09
Rh: 0.0000 0.0000 0.1155  4 Ho 2.96, 4 Nd 3.09
Rh: 0.0000 0.0000 0.3727  8 Nd 3.06
Rh: 0.0000 0.0000 0.6273  8 Nd 3.06
Nd: 0.5000 0.5000 0.2457  8 Rh 3.06-3.09
Nd: 0.5000 0.5000 0.5000  8 Rh 3.06
Nd: 0.5000 0.5000 0.7543  8 Rh 3.06-3.09
Ho: 0.5000 0.5000 0.0000  8 Rh 2.96

Properties
Its symmetry is P4/mmm, No. 123. For the formation energy, the calculation gives -0.6875 eV/atom. As for the density of states at the Fermi level: 0.819 states/eV/atom. The total magnetization comes out at 0.00 Bohr magnetons per cell. Its density is 9.69 g cm⁻³.



> What is the density in the fourth record?

9.69 g cm⁻³